Run w
This record from the Alexandria database describes KHI after structural relaxation. The functional is PBE-GGA.

The structure in POSCAR format:
```
KHI
1.0
5.010 0.000 0.000
-2.400 5.879 0.000
-0.308 -0.273 7.048
K H I
2 2 2
Cartesian
-0.646 4.682 6.576 K
2.105 2.169 2.557 K
-0.379 3.192 3.887 H
-0.530 3.783 3.437 H
2.205 5.655 2.119 I
1.863 2.238 6.037 I
```

**N(E_F)**: 0.00 states/eV/atom

---

Run x
This record from the Alexandria database describes KHI after structural relaxation. The functional is PBE-GGA.

The structure in POSCAR format:
```
KHI
1.0
-5.071 -0.528 -0.028
-0.095 0.644 5.043
-0.843 7.869 4.285
K H I
2 2 2
Cartesian
-2.450 1.192 3.635 K
-5.454 5.315 5.789 K
-3.038 6.694 6.392 H
-5.709 7.683 7.316 H
-4.985 1.061 1.032 I
-2.824 4.802 3.347 I
```

---

Most stable: run w. Least stable: run x.

---

Run w
This record from the Alexandria database describes KHI after structural relaxation. The functional is PBE-GGA.

The structure in POSCAR format:
```
KHI
1.0
-0.167 -7.871 -2.089
1.783 1.071 -4.178
10.358 -1.040 4.153
K H I
4 4 4
Cartesian
5.522 -1.253 2.035 K
1.235 -0.197 -2.131 K
7.551 -5.417 1.834 K
3.263 -4.361 -2.332 K
2.842 -6.915 -0.560 H
8.912 -6.899 -0.572 H
3.494 -6.714 -0.230 H
9.564 -6.698 -0.242 H
0.197 -5.994 -1.453 I
6.267 -5.979 -1.465 I
2.510 -2.343 0.471 I
8.580 -2.327 0.458 I
```

**N(E_F)**: 0.00 states/eV/atom

---

Run x
This record from the Alexandria database describes KHI after structural relaxation. The functional is PBE-GGA.

The structure in POSCAR format:
```
KHI
1.0
9.824 0.000 0.000
0.000 5.148 0.000
-2.835 0.000 8.428
K H I
4 4 4
Cartesian
8.087 0.000 4.394 K
9.505 2.574 0.180 K
2.277 0.000 5.744 K
3.694 2.574 1.530 K
8.615 0.000 1.458 H
7.198 2.574 5.672 H
7.902 0.000 1.203 H
6.485 2.574 5.417 H
-0.905 0.000 7.807 I
0.513 2.574 3.593 I
4.881 0.000 3.488 I
3.464 2.574 7.702 I
```

**N(E_F)**: 0.00 states/eV/atom

---

Most stable: run x. Least stable: run w.

---

Run w
This record from the Alexandria database describes KHI after structural relaxation. The functional is PBE-GGA.

The structure in POSCAR format:
```
KHI
1.0
4.677 0.000 0.000
0.000 4.621 0.000
0.000 0.000 17.300
K H I
4 4 4
Cartesian
0.000 2.310 8.654 K
2.338 0.000 0.004 K
0.000 0.000 12.870 K
2.338 2.310 4.220 K
0.000 2.689 5.768 H
0.000 1.931 5.768 H
2.338 0.379 14.418 H
2.338 4.242 14.418 H
0.000 0.000 2.750 I
2.338 2.310 11.400 I
0.000 2.310 15.796 I
2.338 0.000 7.146 I
```

**N(E_F)**: 0.00 states/eV/atom

---

Run x
This record from the Alexandria database describes KHI after structural relaxation. The functional is PBE-GGA.

The structure in POSCAR format:
```
KHI
1.0
-3.643 -2.214 1.384
2.253 -4.288 -0.927
3.086 -0.101 7.961
K H I
2 2 2
Cartesian
2.389 -3.351 8.186 K
-0.247 -1.158 4.755 K
-1.597 -1.311 2.183 H
-0.981 -0.937 1.949 H
2.579 -0.084 6.655 I
2.185 -2.178 2.267 I
```

**N(E_F)**: 0.00 states/eV/atom

---

Run y
This record from the Alexandria database describes KHI after structural relaxation. The functional is PBE-GGA.

The structure in POSCAR format:
```
KHI
1.0
-5.538 -0.734 0.999
3.454 -5.138 -0.514
1.243 0.459 6.941
K H I
2 2 2
Cartesian
0.416 -5.123 0.413 K
0.624 -1.506 3.926 K
-1.674 -3.120 6.301 H
-1.614 -3.724 5.853 H
1.035 -4.979 3.878 I
0.004 -1.648 0.458 I
```

**N(E_F)**: 0.00 states/eV/atom

---

Run z
This record from the Alexandria database describes KHI after structural relaxation. The functional is PBE-GGA.

The structure in POSCAR format:
```
KHI
1.0
-4.797 0.790 -1.167
-3.267 -3.779 0.165
-1.136 4.629 7.804
I H K
2 2 2
Cartesian
-5.473 -0.400 3.663 I
-1.960 -0.290 0.003 I
-3.301 1.152 6.483 H
-3.150 0.992 5.758 H
-5.348 2.873 5.360 K
-4.478 1.935 1.151 K
```

**N(E_F)**: 0.00 states/eV/atom

---

Most stable: run z. Least stable: run w.

---

Run w
This record from the Alexandria database describes KHI after structural relaxation. The functional is PBE-GGA.

The structure in POSCAR format:
```
KHI
1.0
-2.397 -7.185 -5.251
0.269 -3.023 4.014
-7.472 3.450 3.100
K H I
4 4 4
Cartesian
-4.259 -5.627 -3.952 K
-7.860 -5.413 -0.395 K
-6.862 -0.299 0.236 K
-2.991 -3.535 0.692 K
-2.123 -2.753 -1.931 H
-5.724 -2.539 1.626 H
-2.643 -3.211 -2.241 H
-6.244 -2.997 1.316 H
-5.662 -3.029 -1.902 I
-1.791 -6.266 -1.445 I
-0.434 -0.996 -0.721 I
-4.035 -0.783 2.836 I
```

**N(E_F)**: 0.00 states/eV/atom

---

Run x
This record from the Alexandria database describes KHI after structural relaxation. The functional is PBE-GGA.

The structure in POSCAR format:
```
KHI
1.0
4.933 0.000 0.000
0.000 8.958 0.000
0.000 0.000 8.537
K H I
4 4 4
Cartesian
0.000 0.000 7.832 K
2.467 4.479 3.564 K
0.000 4.479 7.928 K
2.467 0.000 3.660 K
0.000 0.379 2.177 H
0.000 8.579 2.177 H
2.467 4.858 6.445 H
2.467 4.100 6.445 H
0.000 2.240 5.029 I
0.000 6.717 5.029 I
2.467 6.719 0.761 I
2.467 2.238 0.761 I
```

**N(E_F)**: 0.00 states/eV/atom

---

Most stable: run x. Least stable: run w.

---

Run w
This record from the Alexandria database describes K2HI after structural relaxation. The functional is PBE-GGA.

The structure in POSCAR format:
```
K2HI
1.0
-0.796 3.236 7.242
3.255 -6.504 3.264
5.339 0.231 4.871
I H K
2 2 4
Cartesian
0.000 0.000 0.000 I
2.886 0.917 8.683 I
1.229 -1.634 5.253 H
4.911 -3.953 6.694 H
1.313 0.988 5.527 K
3.201 -3.323 4.788 K
5.207 -1.613 7.875 K
5.874 -2.125 12.564 K
```

**N(E_F)**: 0.00 states/eV/atom

---

Run x
This record from the Alexandria database describes K2HI after structural relaxation. The functional is PBE-GGA.

The structure in POSCAR format:
```
K2HI
1.0
-1.265 4.168 -1.094
-0.437 1.154 -4.318
-8.105 -0.472 -1.642
K H I
2 1 1
Cartesian
-6.562 -0.012 -1.675 K
-2.116 1.313 -1.771 K
-9.213 3.084 -5.250 H
-4.924 2.419 -3.526 I
```

**N(E_F)**: 0.00 states/eV/atom

---

Run y
This record from the Alexandria database describes K2HI after structural relaxation. The functional is PBE-GGA.

The structure in POSCAR format:
```
K2HI
1.0
-1.532 0.636 3.639
-2.796 -2.773 -0.692
4.799 -5.587 2.996
I H K
1 1 2
Cartesian
0.235 -3.862 2.971 I
-2.164 -1.069 1.473 H
3.738 -4.352 2.334 K
1.060 -1.235 0.662 K
```

**N(E_F)**: 0.00 states/eV/atom

---

Most stable: run w. Least stable: run y.

---

Run w
This record from the Alexandria database describes K2HI after structural relaxation. The functional is PBE-GGA.

The structure in POSCAR format:
```
K2HI
1.0
4.556 -0.002 -0.003
-2.278 3.946 0.003
-2.271 -1.318 7.637
K H I
2 1 1
Cartesian
0.004 -0.003 6.080 K
0.002 2.628 1.557 K
4.556 -0.002 -0.003 H
-2.275 1.314 3.820 I
```

**N(E_F)**: 0.00 states/eV/atom

---

Run x
This record from the Alexandria database describes K2HI after structural relaxation. The functional is PBE-GGA.

The structure in POSCAR format:
```
K2HI
1.0
0.000 4.037 4.037
4.037 0.000 4.037
4.037 4.037 0.000
I H K
1 1 2
Cartesian
4.037 4.037 4.037 I
0.000 0.000 0.000 H
2.018 2.018 2.018 K
6.055 6.055 6.055 K
```

**N(E_F)**: 0.00 states/eV/atom

---

Run y
This record from the Alexandria database describes K2HI after structural relaxation. The functional is PBE-GGA.

The structure in POSCAR format:
```
K2HI
1.0
-2.131 2.349 -3.630
-6.947 -2.581 2.408
-1.423 11.642 8.370
K H I
8 4 4
Cartesian
-3.627 7.450 2.150 K
-2.773 0.112 0.100 K
-6.875 3.960 4.999 K
-7.728 11.299 7.049 K
-6.429 3.066 0.957 K
-7.559 7.161 7.472 K
-4.073 8.345 6.191 K
-2.942 4.250 -0.324 K
-8.509 3.939 2.743 H
-5.864 9.436 7.949 H
-1.992 7.472 4.405 H
-4.638 1.975 -0.801 H
-6.753 7.533 4.039 I
-6.885 -0.172 2.330 I
-3.748 3.878 3.110 I
-3.617 11.582 4.818 I
```

**N(E_F)**: 0.00 states/eV/atom

---

Most stable: run y. Least stable: run x.

---

Run w
This record from the Alexandria database describes K3HI2 after structural relaxation. The functional is PBE-GGA.

The structure in POSCAR format:
```
K3HI2
1.0
-2.186 -3.890 -1.326
4.916 -1.138 -4.764
2.455 -1.286 7.896
K H I
3 1 2
Cartesian
2.772 -2.758 3.520 K
0.000 0.000 0.000 K
2.413 -3.556 -1.715 K
2.458 -0.569 -2.382 H
0.236 -3.267 1.024 I
4.949 -3.047 0.781 I
```

**N(E_F)**: 0.00 states/eV/atom

---

Run x
This record from the Alexandria database describes K3HI2 after structural relaxation. The functional is PBE-GGA.

The structure in POSCAR format:
```
K3HI2
1.0
4.783 0.000 -1.090
-0.248 4.776 -1.090
-0.107 -0.111 10.571
K H I
3 1 2
Cartesian
4.143 4.373 7.200 K
1.244 1.318 5.518 K
2.614 2.760 0.492 K
1.875 1.983 8.291 H
0.444 0.475 2.010 I
3.413 3.602 4.000 I
```

**N(E_F)**: 0.00 states/eV/atom

---

Most stable: run w. Least stable: run x.

---

Run w
This record from the Alexandria database describes K2H3I after structural relaxation. The functional is PBE-GGA.

The structure in POSCAR format:
```
K2H3I
1.0
6.935 0.000 3.011
3.467 9.706 1.506
-0.228 0.000 10.016
K H I
8 12 4
Cartesian
8.003 4.853 5.297 K
0.954 0.000 7.294 K
9.220 9.706 7.240 K
5.639 4.853 10.742 K
2.348 0.000 4.083 K
7.826 9.706 10.450 K
4.473 4.853 3.936 K
2.234 4.853 9.091 K
4.069 7.714 3.361 H
1.538 1.993 9.189 H
2.638 7.714 9.667 H
5.169 1.992 3.839 H
6.220 6.845 6.164 H
5.055 2.861 8.847 H
7.422 6.846 9.875 H
3.353 0.593 6.514 H
6.707 5.446 13.028 H
3.467 4.260 1.506 H
3.353 9.113 6.514 H
1.652 2.861 4.181 H
6.821 6.854 8.020 I
3.239 7.705 11.522 I
6.821 2.852 8.020 I
6.935 2.001 3.011 I
```

**N(E_F)**: 0.00 states/eV/atom

---

Run x
This record from the Alexandria database describes K2H3I after structural relaxation. The functional is PBE-GGA.

The structure in POSCAR format:
```
K2H3I
1.0
-3.843 -5.062 3.034
-3.166 -1.440 -6.123
8.527 -1.615 -0.009
K H I
4 6 2
Cartesian
0.079 -2.007 -1.508 K
-2.733 -4.813 -2.825 K
1.439 -6.111 -1.591 K
4.251 -3.305 -0.273 K
-0.698 -4.630 -1.115 H
-2.146 -3.203 -0.658 H
2.216 -3.488 -1.983 H
3.663 -4.915 -2.440 H
-1.426 -3.936 -0.836 H
2.943 -4.182 -2.263 H
-1.128 -2.345 -4.860 I
2.646 -5.773 1.762 I
```

**N(E_F)**: 0.00 states/eV/atom

---

Most stable: run x. Least stable: run w.

---

Run w
This record from the Alexandria database describes K4HI3 after structural relaxation. The functional is PBE-GGA.

The structure in POSCAR format:
```
K4HI3
1.0
8.350 0.045 0.000
-2.885 8.013 0.000
0.000 0.000 9.868
K H I
8 2 6
Cartesian
7.569 2.031 6.273 K
3.598 1.715 8.847 K
3.394 2.009 3.596 K
-0.577 1.692 1.022 K
6.042 6.366 8.847 K
2.071 6.050 6.273 K
1.867 6.343 1.022 K
-2.104 6.027 3.596 K
6.263 0.034 8.954 H
2.088 0.011 0.914 H
6.263 0.034 3.699 I
2.088 0.011 6.169 I
4.820 4.040 6.256 I
4.820 4.040 1.208 I
0.645 4.018 3.612 I
0.645 4.018 8.661 I
```

**N(E_F)**: 0.00 states/eV/atom

---

Run x
This record from the Alexandria database describes K4HI3 after structural relaxation. The functional is PBE-GGA.

The structure in POSCAR format:
```
K4HI3
1.0
-3.419 0.763 3.419
-4.755 -6.109 -3.392
5.088 -3.377 5.843
K H I
4 1 3
Cartesian
0.077 -2.180 0.563 K
-4.203 -5.100 0.439 K
0.257 -7.306 1.888 K
1.117 -3.623 5.430 K
-1.710 0.382 1.709 H
2.544 -1.689 2.922 I
-1.543 -4.361 2.935 I
-2.378 -3.054 -1.696 I
```

**N(E_F)**: 0.00 states/eV/atom

---

Most stable: run w. Least stable: run x.